[1]
# Nd6Sm2DyHo3

A relaxed Nd6Sm2DyHo3 crystal (PBE, Alexandria).

```
data_Nd6Sm2DyHo3
_cell_length_a 6.2876
_cell_length_b 10.8910
_cell_length_c 11.9190
_cell_angle_alpha 90.00
_cell_angle_beta 100.10
_cell_angle_gamma 90.00
_space_group_name_H-M_alt 'C 1 2/m 1'
_space_group_IT_number 12
_space_group_name_Hall '-C 2y'
loop_
_atom_site_label
_atom_site_fract_x
_atom_site_fract_y
_atom_site_fract_z
Nd1 0.2488 0.0000 0.2477
Nd2 0.2495 0.3336 0.2479
Sm1 0.0000 0.3333 0.5000
Dy1 0.0000 0.0000 0.5000
Ho1 0.0000 0.1666 0.0000
Ho2 0.0000 0.5000 0.0000
```

- crystal system = monoclinic



[2]
# Nd2SmDyHo4

A relaxed Nd2SmDyHo4 crystal (PBE, Alexandria).

```
data_Nd2SmDyHo4
_cell_length_a 13.6575
_cell_length_b 13.2803
_cell_length_c 6.8186
_cell_angle_alpha 90.00
_cell_angle_beta 119.95
_cell_angle_gamma 90.00
_space_group_name_H-M_alt 'C 1 2/c 1'
_space_group_IT_number 15
_space_group_name_Hall '-C 2yc'
loop_
_atom_site_label
_atom_site_fract_x
_atom_site_fract_y
_atom_site_fract_z
Nd1 0.0000 0.0000 0.0000
Nd2 0.2500 0.2500 0.0000
Sm1 0.2500 0.2500 0.5000
Dy1 0.0000 0.5000 0.0000
Ho1 0.0001 0.2535 0.0007
Ho2 0.2465 0.4997 0.4958
```

- crystal system = monoclinic



Number 1: DFT total energy -4.69 eV/atom, total moment 0.0 Bohr magnetons per cell. Number 2: DFT total energy -4.23 eV/atom, total moment 10.8 Bohr magnetons per cell.